(1)
This record from the Open Quantum Materials Database describes a relaxed CsIrOs crystal. The functional is PBE-GGA.

a b c (Å): 4.6449 4.6449 4.6449
angles (deg): 60.00 60.00 60.00
Fractional coordinates of all 3 atoms:
Cs 0.2500 0.2500 0.2500
Ir 0.7500 0.7500 0.7500
Os 0.0000 0.0000 0.0000

Values from the calculation:
E_tot = -14.3 eV/f.u.
total moment = 1.5 μB/cell
space group = F-43m, No. 216


(2)
This record from the Open Quantum Materials Database describes a relaxed UZnAg crystal. The functional is PBE-GGA.

a b c (Å): 4.8396 4.8396 4.8396
angles (deg): 59.98 59.98 59.98
Fractional coordinates of all 3 atoms:
Ag 0.2500 0.2500 0.2500
U 0.0000 0.0000 0.0000
Zn 0.7500 0.7500 0.7500

Values from the calculation:
DFT formation energy = 0.954 eV/atom
total moment = 3.5 μB/cell
space group = F-43m, No. 216


(3)
This record from the Open Quantum Materials Database describes a relaxed Al10Co3 crystal. The functional is PBE-GGA.

a b c (Å): 8.8054 8.8054 8.8054
angles (deg): 34.33 34.33 34.33
Each line ends with the local moment (μB).
Fractional coordinates of all 13 atoms:
Al 0.5931 0.1029 0.1029  0.00
Al 0.1029 0.5931 0.1029  0.00
Al 0.1681 0.1681 0.1681  0.00
Al 0.8971 0.8971 0.4069  0.00
Al 0.4499 0.4499 0.4499  0.00
Al 0.5501 0.5501 0.5501  0.00
Al 0.1029 0.1029 0.5931  0.00
Al 0.8319 0.8319 0.8319  0.00
Al 0.8971 0.4069 0.8971  0.00
Al 0.4069 0.8971 0.8971  0.00
Co 0.0000 0.0000 0.0000  0.03
Co 0.3531 0.3531 0.3531  0.18
Co 0.6469 0.6469 0.6469  0.18

Values from the calculation:
E_tot = -59.0 eV/f.u.
total moment = 0.4 μB/cell
space group = R-3m, No. 166


(4)
This record from the Open Quantum Materials Database describes a relaxed PuGeB crystal. The functional is PBE-GGA.

a b c (Å): 4.4012 4.4012 4.4012
angles (deg): 60.00 60.00 60.00
Each line ends with the local moment (μB).
Fractional coordinates of all 3 atoms:
B 0.0000 0.0000 0.0000  0.02
Ge 0.5000 0.5000 0.5000  0.01
Pu 0.7500 0.7500 0.7500  4.80

Values from the calculation:
E_tot = -23.5 eV/f.u.
total moment = 4.9 μB/cell
space group = F-43m, No. 216


(5)
This record from the Open Quantum Materials Database describes a relaxed NbGa2Mo crystal. The functional is PBE-GGA.

a b c (Å): 4.4957 4.4957 4.4957
angles (deg): 60.00 60.00 60.00
Fractional coordinates of all 4 atoms:
Ga 0.0000 0.0000 0.0000
Ga 0.2500 0.2500 0.2500
Mo 0.7500 0.7500 0.7500
Nb 0.5000 0.5000 0.5000

Values from the calculation:
E_tot = -26.6 eV/f.u.
total moment = 0.0 μB/cell
space group = F-43m, No. 216


(6)
This record from the Open Quantum Materials Database describes a relaxed FeGeMoOs crystal. The functional is PBE-GGA.

a b c (Å): 4.2983 4.2983 4.2983
angles (deg): 60.00 60.00 60.00
Fractional coordinates of all 4 atoms:
Fe 0.7500 0.7500 0.7500
Ge 0.0000 0.0000 0.0000
Mo 0.5000 0.5000 0.5000
Os 0.2500 0.2500 0.2500

Values from the calculation:
E_tot = -34.3 eV/f.u.
total moment = 2.1 μB/cell
space group = F-43m, No. 216


(7)
This record from the Open Quantum Materials Database describes a relaxed Dy3Tm4Ni2Te2 crystal. The functional is PBE-GGA.

a b c (Å): 9.3056 9.3056 9.3056
angles (deg): 156.24 66.87 118.53
Fractional coordinates of all 11 atoms:
Dy 0.4720 0.1048 0.3672
Dy 0.0239 0.5239 0.5000
Dy 0.7376 0.1048 0.6328
Ni 0.8577 0.5950 0.2628
Ni 0.3322 0.5950 0.7372
Te 0.7591 0.7591 0.0000
Te 0.3582 0.8582 0.5000
Tm 0.4015 0.2537 0.1478
Tm 0.0877 0.9028 0.1849
Tm 0.7180 0.9028 0.8151
Tm 0.1059 0.2537 0.8522

Values from the calculation:
E_tot = -56.6 eV/f.u.
total moment = 0.0 μB/cell
space group = Imm2, No. 44


(8)
This record from the Open Quantum Materials Database describes a relaxed PrTlBi crystal. The functional is PBE-GGA.

a b c (Å): 5.2996 5.2996 5.2996
angles (deg): 60.00 60.00 60.00
Fractional coordinates of all 3 atoms:
Bi 0.2500 0.2500 0.2500
Pr 0.7500 0.7500 0.7500
Tl 0.0000 0.0000 0.0000

Values from the calculation:
E_tot = -11.7 eV/f.u.
total moment = 0.0 μB/cell
space group = F-43m, No. 216


(9)
This record from the Open Quantum Materials Database describes a relaxed Rb2Sm2O3 crystal. The functional is PBE-GGA.

a b c (Å): 6.6251 6.6251 6.6251
angles (deg): 59.65 59.65 59.65
Fractional coordinates of all 7 atoms:
O 0.5000 0.0000 0.0000
O 0.0000 0.5000 0.0000
O 0.0000 0.0000 0.5000
Rb 0.0000 0.0000 0.0000
Rb 0.5000 0.5000 0.5000
Sm 0.2270 0.2270 0.2270
Sm 0.7730 0.7730 0.7730

Values from the calculation:
E_tot = -40.6 eV/f.u.
total moment = 0.0 μB/cell
space group = R-3m, No. 166


(10)
This record from the Open Quantum Materials Database describes a relaxed LuFeNiB crystal. The functional is PBE-GGA.

a b c (Å): 4.2194 4.2194 4.2194
angles (deg): 60.00 60.00 60.00
Each line ends with the local moment (μB).
Fractional coordinates of all 4 atoms:
B 0.0000 0.0000 0.0000  -0.04
Fe 0.7500 0.7500 0.7500  2.52
Lu 0.2500 0.2500 0.2500  -0.06
Ni 0.5000 0.5000 0.5000  0.38

Values from the calculation:
E_tot = -24.2 eV/f.u.
total moment = 2.8 μB/cell
space group = F-43m, No. 216


(11)
This record from the Open Quantum Materials Database describes a relaxed K2Hg2S3 crystal. The functional is PBE-GGA.

a b c (Å): 7.5823 7.5823 7.5823
angles (deg): 109.47 109.47 109.47
Fractional coordinates of all 14 atoms:
Hg 0.8780 0.5000 0.0000
Hg 0.0000 0.8780 0.5000
Hg 0.6220 0.6220 0.6220
Hg 0.5000 0.0000 0.8780
K 0.3369 0.5000 0.0000
K 0.1631 0.1631 0.1631
K 0.5000 0.0000 0.3369
K 0.0000 0.3369 0.5000
S 0.7500 0.8511 0.1011
S 0.6489 0.3989 0.2500
S 0.2500 0.6489 0.3989
S 0.3989 0.2500 0.6489
S 0.8511 0.1011 0.7500
S 0.1011 0.7500 0.8511

Values from the calculation:
E_tot = -17.4 eV/f.u.
space group = I2_13, No. 199


(12)
This record from the Open Quantum Materials Database describes a relaxed CuSiNiOs crystal. The functional is PBE-GGA.

a b c (Å): 4.1079 4.1079 4.1079
angles (deg): 60.00 60.00 60.00
Fractional coordinates of all 4 atoms:
Cu 0.7500 0.7500 0.7500
Ni 0.5000 0.5000 0.5000
Os 0.2500 0.2500 0.2500
Si 0.0000 0.0000 0.0000

Values from the calculation:
E_tot = -26.1 eV/f.u.
total moment = 0.0 μB/cell
space group = F-43m, No. 216